Below is a relaxed Mo2RuSO crystal, with properties calculated at the PBE+U level.

Calculated values
- Uncorrected energy: -5.275 eV/atom
- Magnetization: 7.14 μB/cell

```
data_Mo2RuSO
_symmetry_space_group_name_H-M 'P 4/m m m'
_symmetry_Int_Tables_number 123
_symmetry_space_group_name_Hall '-P 4 2'
_cell_length_a 5.251
_cell_length_b 5.251
_cell_length_c 4.219
_cell_angle_alpha 90.00
_cell_angle_beta 90.00
_cell_angle_gamma 90.00
loop_
_atom_site_label
_atom_site_type_symbol
_atom_site_fract_x
_atom_site_fract_y
_atom_site_fract_z
Mo1 Mo 0.000 0.500 0.000
Ru1 Ru 0.000 0.000 0.000
S1 S 0.000 0.000 0.500
O1 O 0.500 0.500 0.500
```